(1)
## Tb2Sm2YSc2 (PBE-GGA)

Data for Tb2Sm2YSc2 after structural relaxation.

POSCAR file:
```
Tb2Sm2YSc2
1.0
-0.3459 -3.3466 0.5146
8.1009 2.1747 8.3326
-10.9627 0.5292 -3.9268
Tb Sm Y Sc
2 2 1 2
Cartesian
-0.7777 -0.8552 5.1710 Tb
-2.4300 0.2126 -0.2506 Tb
2.5222 -1.4460 3.5472 Sm
-5.7299 0.8033 1.3732 Sm
-5.4814 0.2646 -1.9634 Y
-0.3942 -1.4079 1.8344 Sc
-2.8135 0.7653 3.0860 Sc
```

Computed properties:
Energy relative to the elements   0.171 eV/atom
Space-group type   No. 12
M_tot   0.0 μB/cell
Calculated volume   218 Å³/cell

***

(2)
## TbSm5YSc2 (PBE-GGA)

Data for TbSm5YSc2 after structural relaxation.

POSCAR file:
```
TbSm5YSc2
1.0
-2.6211 4.7749 -1.5496
-1.4518 -6.9768 -8.6943
-8.0053 -3.1423 3.8583
Tb Sm Y Sc
2 10 2 4
Cartesian
-7.2084 -2.1406 -4.7516 Tb
-1.1693 -1.7509 -3.4176 Tb
-2.5342 -3.7394 -7.2360 Sm
-9.2485 -2.3700 -2.0075 Sm
-8.5743 -6.6429 -5.9660 Sm
-7.4366 -5.0551 -2.9979 Sm
-8.1056 -3.7091 -8.0670 Sm
-6.2836 -0.3250 -0.7210 Sm
-4.1101 -3.4767 -3.7610 Sm
-3.4789 1.3085 -0.4317 Sm
-4.1400 -0.0922 -3.6295 Sm
-0.1493 -0.1343 -0.1613 Sm
-9.2210 -1.4115 0.8996 Y
-5.5765 -5.0000 -5.9746 Y
-10.0636 -3.7541 -4.8936 Sc
-6.3788 -3.4508 0.1565 Sc
-3.2479 -2.0742 -0.8976 Sc
-4.9566 -1.6018 -6.9001 Sc
```

Computed properties:
Energy relative to the elements   0.168 eV/atom
Space-group type   No. 36
M_tot   0.0 μB/cell
Calculated volume   581 Å³/cell

***

(3)
## Tb2Sm2YSc (PBE-GGA)

Data for Tb2Sm2YSc after structural relaxation.

POSCAR file:
```
Tb2Sm2YSc
1.0
6.9268 0.0000 0.0000
0.0000 9.5684 0.4172
0.0000 -3.1374 5.6317
Tb Sm Y Sc
4 4 2 2
Cartesian
3.4649 0.9307 1.7446 Tb
6.9252 0.9307 1.7446 Tb
0.0015 5.5003 4.3042 Tb
3.4618 5.5003 4.3042 Tb
1.7317 -1.0216 4.5521 Sm
1.7317 2.2670 4.6826 Sm
5.1951 7.4526 1.4968 Sm
5.1951 4.1640 1.3662 Sm
5.1951 -0.9211 4.2843 Y
1.7317 7.3521 1.7646 Y
1.7317 3.8498 1.9394 Sc
5.1951 2.5812 4.1095 Sc
```

Computed properties:
Energy relative to the elements   0.122 eV/atom
Space-group type   No. 11
M_tot   0.0 μB/cell
Calculated volume   382 Å³/cell

***

(4)
## Tb2SmY5Sc (PBE-GGA)

Data for Tb2SmY5Sc after structural relaxation.

POSCAR file:
```
Tb2SmY5Sc
1.0
-2.0395 -5.1803 -0.1993
2.6076 1.5886 9.8844
-9.5345 3.6797 1.9239
Tb Sm Y Sc
4 2 10 2
Cartesian
-7.5424 -0.3754 9.0830 Tb
-6.6498 2.4773 3.6569 Tb
-2.6398 0.9327 2.7713 Tb
-2.0420 -2.4953 7.8967 Tb
-9.8030 0.7302 3.4753 Sm
-2.9946 0.8364 8.9068 Sm
0.9820 -0.6680 7.3155 Y
-8.2052 0.0068 5.9297 Y
-5.5091 1.7523 10.8318 Y
-5.7486 1.9866 7.1912 Y
-4.4186 -1.6536 10.3387 Y
-5.5784 -0.9305 3.4117 Y
-2.2695 0.6633 5.9837 Y
-3.2285 -1.7526 0.7310 Y
-2.3086 -2.2494 4.2344 Y
-0.1087 0.0284 0.3746 Y
-4.9657 -1.3062 6.9074 Sc
0.4573 -0.3263 3.8021 Sc
```

Computed properties:
Energy relative to the elements   0.163 eV/atom
Space-group type   No. 36
M_tot   0.0 μB/cell
Calculated volume   577 Å³/cell

***

(5)
## TbSm3Y6Sc2 (PBE-GGA)

Data for TbSm3Y6Sc2 after structural relaxation.

POSCAR file:
```
TbSm3Y6Sc2
1.0
-1.4083 3.7546 -4.6376
-4.4533 -2.3655 3.4871
2.7008 8.5743 7.4709
Tb Sm Y Sc
1 3 6 2
Cartesian
0.0000 0.0000 0.0000 Tb
-2.5946 2.9434 5.8662 Sm
-0.5662 7.0200 0.4542 Sm
-1.5804 4.9817 3.1602 Sm
-1.8443 8.5624 3.4288 Y
-3.7130 3.1172 0.9565 Y
-1.3165 1.4010 2.8915 Y
-2.8668 6.5074 6.1570 Y
0.5522 6.8462 5.3639 Y
-0.2940 3.4560 0.1634 Y
-3.4385 -0.3259 0.7795 Sc
-2.4231 1.7150 -1.9300 Sc
```

Computed properties:
Energy relative to the elements   0.042 eV/atom
Space-group type   No. 12
M_tot   0.0 μB/cell
Calculated volume   375 Å³/cell

***

(6)
## TbSm5Y2Sc (PBE-GGA)

Data for TbSm5Y2Sc after structural relaxation.

POSCAR file:
```
TbSm5Y2Sc
1.0
5.5928 0.0000 0.0000
-2.7964 10.1544 0.0000
0.0000 0.0000 10.4279
Tb Sm Y Sc
2 10 4 2
Cartesian
2.7964 1.9136 10.0376 Tb
0.0000 8.2408 4.8236 Tb
0.0000 7.6372 0.1985 Sm
2.7964 4.5518 8.5540 Sm
0.0000 9.8633 7.7548 Sm
0.0000 6.0577 7.3693 Sm
2.7964 9.8198 5.3542 Sm
2.7964 2.5172 5.4124 Sm
0.0000 5.6026 3.3400 Sm
2.7964 0.2912 2.5408 Sm
2.7964 4.0967 2.1554 Sm
0.0000 0.3346 0.1403 Sm
2.7964 7.8717 8.4144 Y
0.0000 2.3426 7.6845 Y
0.0000 2.2827 3.2005 Y
2.7964 7.8118 2.4706 Y
2.7964 6.1772 5.3645 Sc
0.0000 3.9772 0.1505 Sc
```

Computed properties:
Energy relative to the elements   0.158 eV/atom
Space-group type   No. 36
M_tot   0.0 μB/cell
Calculated volume   592 Å³/cell

***

(7)
## Tb5SmY2Sc (PBE-GGA)

Data for Tb5SmY2Sc after structural relaxation.

POSCAR file:
```
Tb5SmY2Sc
1.0
5.5918 0.0000 0.0000
-2.7959 9.8861 0.0000
0.0000 0.0000 10.4215
Tb Sm Y Sc
10 2 4 2
Cartesian
0.0000 7.4753 0.2091 Tb
2.7959 4.3935 8.5490 Tb
0.0000 9.5316 7.7092 Tb
0.0000 5.9053 7.3436 Tb
2.7959 9.5022 5.4069 Tb
2.7959 2.4108 5.4199 Tb
0.0000 5.4926 3.3382 Tb
2.7959 0.3545 2.4984 Tb
2.7959 3.9808 2.1329 Tb
0.0000 0.3839 0.1961 Tb
2.7959 1.7355 9.9681 Sm
0.0000 8.1506 4.7574 Sm
2.7959 7.6783 8.4873 Y
0.0000 2.2471 7.6605 Y
0.0000 2.2078 3.2765 Y
2.7959 7.6390 2.4497 Y
2.7959 5.9997 5.3609 Sc
0.0000 3.8864 0.1501 Sc
```

Computed properties:
Energy relative to the elements   0.166 eV/atom
Space-group type   No. 36
M_tot   0.0 μB/cell
Calculated volume   576 Å³/cell

***

(8)
## Tb6Sm2YSc (PBE-GGA)

Data for Tb6Sm2YSc after structural relaxation.

POSCAR file:
```
Tb6Sm2YSc
1.0
-3.1083 -8.9394 1.1314
8.4299 -2.1731 0.7464
-4.0783 2.9837 7.1280
Tb Sm Y Sc
12 4 2 2
Cartesian
-2.1530 1.4673 5.5055 Tb
-2.8338 -1.9171 6.9061 Tb
3.3964 -9.5961 3.5003 Tb
4.0771 -6.2117 2.0997 Tb
5.6400 -3.6215 4.1644 Tb
4.1610 -2.9249 0.7026 Tb
-4.3966 -4.5073 4.8414 Tb
-2.9176 -5.2039 8.3032 Tb
3.5778 -1.0992 4.2054 Tb
1.8561 -3.6468 2.8896 Tb
-2.3344 -7.0296 4.8004 Tb
-0.6128 -4.4820 6.1162 Tb
2.4933 -3.7340 6.0710 Sm
1.6122 -0.4643 1.7017 Sm
-1.2500 -4.3948 2.9348 Sm
-0.3688 -7.6645 7.3041 Sm
7.4132 -4.3092 1.1515 Y
-6.1699 -3.8196 7.8543 Y
0.3030 -1.3778 4.7791 Sc
0.9403 -6.7510 4.2267 Sc
```

Computed properties:
Energy relative to the elements   0.122 eV/atom
Space-group type   No. 15
M_tot   0.0 μB/cell
Calculated volume   638 Å³/cell

***

Which value of energy relative to the elements does entry 6 give? 0.158 eV/atom

***

The lowest calculated volume belongs to which entry? Tb2Sm2YSc2